(1)
A relaxed structure of Ba3MnB. Source: the Alexandria database, functional PBE.

It has space group Pm-3m (No. 221), with a = 5.926 Å, b = 5.926 Å, c = 5.926 Å, α = 90.00°, β = 90.00° and γ = 90.00°. The inequivalent atoms are Ba at (0.000, 0.000, 0.500), Mn at (0.500, 0.500, 0.500) and B at (0.000, 0.000, 0.000).

Its total energy is -3.5608 eV per atom. The calculation puts the density of states at the Fermi level at 8.3 states/eV/cell.

***

(2)
A relaxed structure of MnV3C. Source: the Alexandria database, functional PBE.

It has space group Pm-3m (No. 221), with a = 4.216 Å, b = 4.216 Å, c = 4.216 Å, α = 90.00°, β = 90.00° and γ = 90.00°. The inequivalent atoms are Mn at (0.000, 0.000, 0.000), V at (0.000, 0.000, 0.500) and C at (0.500, 0.500, 0.500).

Its total energy is -7.3757 eV per atom. Its energy relative to the lowest polymorph listed for this composition is 1.881 eV/atom. The calculation puts the density of states at the Fermi level at 4.0 states/eV/cell.

***

(3)
A relaxed structure of CaTl2CoCl6. Source: the Alexandria database, functional PBE.

It has space group Fm-3m (No. 225), with a = 10.260 Å, b = 10.260 Å, c = 10.260 Å, α = 90.00°, β = 90.00° and γ = 90.00°. The inequivalent atoms are Ca at (0.000, 0.000, 0.000), Tl at (0.250, 0.250, 0.250), Co at (0.000, 0.000, 0.500) and Cl at (0.000, 0.000, 0.263).

Its total energy is -3.7344 eV per atom. The calculation puts the density of states at the Fermi level at 44.3 states/eV/cell. The energy relative to the elements, uncorrected comes out at -1.24 eV per atom.

***

(4)
A relaxed structure of Ac2MgIn7. Source: the Alexandria database, functional PBE.

It has space group P-4m2 (No. 115), with a = 4.791 Å, b = 4.791 Å, c = 12.622 Å, α = 90.00°, β = 90.00° and γ = 90.00°. The inequivalent atoms are Ac at (0.000, 0.500, 0.248), Mg at (0.500, 0.500, 0.000), In at (0.000, 0.000, 0.000), In at (0.000, 0.000, 0.500), In at (0.000, 0.500, 0.641), In at (0.000, 0.500, 0.865) and In at (0.500, 0.500, 0.500).

Its total energy is -3.1847 eV per atom. The calculation puts the density of states at the Fermi level at 4.5 states/eV/cell.